Entry 1:
A plane-wave DFT calculation with PBE was carried out for an optimized crystal structure of YZnH8Rh2.

Cell: 6.096 6.096 6.096 Å, 44.96 44.96 44.96°
Positions (direct):
Y: 0.000 0.000 0.000
Zn: 0.500 0.500 0.500
H: 0.119 0.409 0.784
H: 0.216 0.881 0.591
H: 0.316 0.316 0.316
H: 0.409 0.784 0.119
H: 0.591 0.216 0.881
H: 0.684 0.684 0.684
H: 0.784 0.119 0.409
H: 0.881 0.591 0.216
Rh: 0.216 0.216 0.216
Rh: 0.784 0.784 0.784

- Uncorrected energy: -4.24 eV per atom
- Magnetic moment: 0.00 μB/cell

Entry 2:
A plane-wave DFT calculation with PBE was carried out for an optimized crystal structure of YZrH2Rh.

Cell: 3.812 3.812 6.329 Å, 90.00 90.00 90.00°
Positions (direct):
Y: 0.000 0.000 0.000
Zr: 0.000 0.000 0.500
H: 0.000 0.500 0.500
H: 0.500 0.000 0.500
Rh: 0.500 0.500 0.000

- Uncorrected energy: -5.56 eV per atom
- Magnetic moment: 0.00 μB/cell

Entry 3:
A plane-wave DFT calculation with PBE was carried out for an optimized crystal structure of ZnH12Rh7.

Cell: 5.505 5.505 5.505 Å, 99.83 99.83 99.83°
Positions (direct):
Zn: 0.000 0.000 0.000
H: 0.115 0.647 0.120
H: 0.120 0.115 0.647
H: 0.185 0.470 0.584
H: 0.353 0.880 0.885
H: 0.416 0.815 0.530
H: 0.470 0.584 0.185
H: 0.530 0.416 0.815
H: 0.584 0.185 0.470
H: 0.647 0.120 0.115
H: 0.815 0.530 0.416
H: 0.880 0.885 0.353
H: 0.885 0.353 0.880
Rh: 0.087 0.782 0.589
Rh: 0.218 0.411 0.913
Rh: 0.411 0.913 0.218
Rh: 0.500 0.500 0.500
Rh: 0.589 0.087 0.782
Rh: 0.782 0.589 0.087
Rh: 0.913 0.218 0.411

- Uncorrected energy: -4.58 eV per atom
- Magnetic moment: 0.00 μB/cell

Taking the records one at a time from the top gives D(E_F) values of 2.3 2.7 11.1 states/eV/cell.